P.
This record from Alexandria describes crystalline Tb2Nd4Tm at its relaxed geometry. The functional is GGA-PBE.

The calculation puts the magnetic moment at 0.00 Bohr magnetons per cell.

The space group is Fdd2 (No. 43) and the conventional cell measures 12.021, 24.308 and 6.485 Å, with angles of 90.00, 90.00 and 90.00 degrees. The distinct sites, in fractional coordinates, are Tb at (0.024, 0.215, 0.000), Nd at (0.052, 0.070, 0.945), Nd at (0.069, 0.144, 0.477) and Tm at (0.000, 0.000, 0.442).



Q.
This record from Alexandria describes crystalline Tb2Nd4Tm at its relaxed geometry. The functional is GGA-PBE.

The calculation puts the magnetic moment at 0.00 Bohr magnetons per cell.

The space group is P2_1/m (No. 11) and the conventional cell measures 6.235, 6.685 and 11.644 Å, with angles of 90.00, 104.26 and 90.00 degrees. The distinct sites, in fractional coordinates, are Tb at (0.109, 0.250, 0.493), Tb at (0.213, 0.250, 0.078), Nd at (0.146, 0.011, 0.785), Nd at (0.348, 0.750, 0.050), Nd at (0.457, 0.750, 0.634) and Tm at (0.354, 0.750, 0.337).



Most stable of them? P.



P.
This record from Alexandria describes crystalline Tb12NdTm6 at its relaxed geometry. The functional is GGA-PBE.

The calculation puts the magnetic moment at 0.00 Bohr magnetons per cell.

The space group is R-3m (No. 166, hexagonal axes) and the conventional cell measures 14.9644, 14.9644 and 10.0820 Å, with angles of 90.00, 90.00 and 120.00 degrees. The distinct sites, in fractional coordinates, are Tb at (0.0000, 0.3887, 0.0000), Tb at (0.0732, 0.1465, 0.7957), Nd at (0.0000, 0.0000, 0.5000) and Tm at (0.0527, 0.5264, 0.7151).



Q.
This record from Alexandria describes crystalline Tb12NdTm6 at its relaxed geometry. The functional is GGA-PBE.

The calculation puts the magnetic moment at 0.00 Bohr magnetons per cell.

The space group is R-3 (No. 148, hexagonal axes) and the conventional cell measures 11.8677, 11.8677 and 15.1028 Å, with angles of 90.00, 90.00 and 120.00 degrees. The distinct sites, in fractional coordinates, are Tb at (0.0136, 0.8332, 0.1916), Tb at (0.0422, 0.8501, 0.4161), Nd at (0.0000, 0.0000, 0.0000) and Tm at (0.0100, 0.4240, 0.6815).



Most stable of them? Q.



P.
This record from Alexandria describes crystalline Tb3Nd4Tm2 at its relaxed geometry. The functional is GGA-PBE.

The calculation puts the magnetic moment at 0.00 Bohr magnetons per cell.

The space group is C2/m (No. 12) and the conventional cell measures 12.847, 3.655 and 14.397 Å, with angles of 90.00, 115.93 and 90.00 degrees. The distinct sites, in fractional coordinates, are Tb at (0.000, 0.000, 0.000), Tb at (0.008, 0.000, 0.388), Nd at (0.217, 0.500, 0.609), Nd at (0.222, 0.000, 0.872) and Tm at (0.049, 0.500, 0.209).



Q.
This record from Alexandria describes crystalline Tb3Nd4Tm2 at its relaxed geometry. The functional is GGA-PBE.

The calculation puts the magnetic moment at 0.00 Bohr magnetons per cell.

The space group is C2/c (No. 15) and the conventional cell measures 17.071, 9.795 and 7.082 Å, with angles of 90.00, 90.03 and 90.00 degrees. The distinct sites, in fractional coordinates, are Tb at (0.000, 0.000, 0.250), Tb at (0.172, 0.500, 0.250), Nd at (0.010, 0.335, 0.000), Nd at (0.162, 0.181, 0.500) and Tm at (0.171, 0.154, 0.000).



Most stable of them? Q.



P.
This record from Alexandria describes crystalline Tb2Nd2Tm5 at its relaxed geometry. The functional is GGA-PBE.

The calculation puts the magnetic moment at 0.00 Bohr magnetons per cell.

The space group is P-1 (No. 2) and the conventional cell measures 3.474, 8.186 and 10.881 Å, with angles of 80.21, 80.84 and 89.90 degrees. The distinct sites, in fractional coordinates, are Tb at (0.046, 0.355, 0.407), Nd at (0.317, 0.857, 0.865), Tm at (0.190, 0.529, 0.119), Tm at (0.404, 0.268, 0.694) and Tm at (0.500, 0.000, 0.500).



Q.
This record from Alexandria describes crystalline Tb2Nd2Tm5 at its relaxed geometry. The functional is GGA-PBE.

The calculation puts the magnetic moment at 0.00 Bohr magnetons per cell.

The space group is Ima2 (No. 46) and the conventional cell measures 14.892, 11.708 and 6.714 Å, with angles of 90.00, 90.00 and 90.00 degrees. The distinct sites, in fractional coordinates, are Tb at (0.000, 0.000, 0.000), Tb at (0.250, 0.013, 0.105), Nd at (0.127, 0.506, 0.053), Tm at (0.054, 0.740, 0.704), Tm at (0.142, 0.236, 0.885) and Tm at (0.250, 0.750, 0.405).



Most stable of them? Q.



P.
This record from Alexandria describes crystalline Tb6NdTm12 at its relaxed geometry. The functional is GGA-PBE.

The calculation puts the magnetic moment at 0.01 Bohr magnetons per cell.

The space group is R-3m (No. 166, hexagonal axes) and the conventional cell measures 14.7072, 14.7072 and 10.3704 Å, with angles of 90.00, 90.00 and 120.00 degrees. The distinct sites, in fractional coordinates, are Tb at (0.0672, 0.5336, 0.2215), Nd at (0.0000, 0.0000, 0.0000), Tm at (0.0000, 0.3879, 0.5000) and Tm at (0.0780, 0.1560, 0.2638).



Q.
This record from Alexandria describes crystalline Tb6NdTm12 at its relaxed geometry. The functional is GGA-PBE.

The calculation puts the magnetic moment at 0.00 Bohr magnetons per cell.

The space group is R-3 (No. 148, hexagonal axes) and the conventional cell measures 11.7981, 11.7981 and 15.0444 Å, with angles of 90.00, 90.00 and 120.00 degrees. The distinct sites, in fractional coordinates, are Tb at (0.0067, 0.5865, 0.1745), Nd at (0.0000, 0.0000, 0.5000), Tm at (0.0271, 0.1858, 0.6923) and Tm at (0.0381, 0.1855, 0.9153).



Most stable of them? Q.



P.
This record from Alexandria describes crystalline TbNd2Tm at its relaxed geometry. The functional is GGA-PBE.

The calculation puts the magnetic moment at 0.00 Bohr magnetons per cell.

The space group is P4/mmm (No. 123) and the conventional cell measures 5.115, 5.115 and 5.045 Å, with angles of 90.00, 90.00 and 90.00 degrees. The distinct sites, in fractional coordinates, are Tb at (0.000, 0.000, 0.000), Nd at (0.000, 0.500, 0.500) and Tm at (0.500, 0.500, 0.000).



Q.
This record from Alexandria describes crystalline TbNd2Tm at its relaxed geometry. The functional is GGA-PBE.

The calculation puts the magnetic moment at 0.00 Bohr magnetons per cell.

The space group is Fm-3m (No. 225) and the conventional cell measures 8.109, 8.109 and 8.109 Å, with angles of 90.00, 90.00 and 90.00 degrees. The distinct sites, in fractional coordinates, are Tb at (0.000, 0.000, 0.000), Nd at (0.250, 0.250, 0.250) and Tm at (0.000, 0.000, 0.500).



Most stable of them? P.